PBE NdNiAs2Pd, relaxed; SG = I-4m2
1.0
-2.113 2.113 5.138
2.113 -2.113 5.138
2.113 2.113 -5.138
Nd Ni As Pd
1 1 2 1
Direct
0.000 0.000 0.000
0.250 0.750 0.500
0.374 0.374 0.000
0.626 0.626 0.000
0.750 0.250 0.500



PBE Nd2Ni4As3Pd, relaxed; SG = P-4m2
1.0
4.140 0.000 0.000
0.000 4.140 0.000
0.000 0.000 9.830
Nd Ni As Pd
2 4 3 1
Direct
0.000 0.500 0.248
0.500 0.000 0.752
0.000 0.000 0.000
0.000 0.500 0.636
0.500 0.000 0.364
0.500 0.500 0.000
0.000 0.500 0.872
0.500 0.000 0.128
0.500 0.500 0.500
0.000 0.000 0.500



PBE NdNiAs2Pd2, relaxed; SG = I4/mmm
1.0
-2.074 2.074 7.194
2.074 -2.074 7.194
2.074 2.074 -7.194
Nd Ni As Pd
1 1 2 2
Direct
0.000 0.000 0.000
0.500 0.500 0.000
0.349 0.349 0.000
0.651 0.651 0.000
0.250 0.750 0.500
0.750 0.250 0.500



PBE PrNdNi2As2, relaxed; SG = P-3m1
1.0
4.124 0.000 0.000
-2.062 3.572 0.000
0.000 0.000 8.170
Pr Nd Ni As
1 1 2 2
Direct
0.000 0.000 0.000
0.000 0.000 0.500
0.333 0.667 0.749
0.667 0.333 0.251
0.333 0.667 0.252
0.667 0.333 0.748



PBE Nd2NiAs3Pt4, relaxed; SG = P-4m2
1.0
4.369 0.000 0.000
0.000 4.369 0.000
0.000 0.000 10.005
Nd Ni As Pt
2 1 3 4
Direct
0.000 0.500 0.247
0.500 0.000 0.753
0.500 0.500 0.000
0.000 0.000 0.000
0.000 0.500 0.635
0.500 0.000 0.365
0.000 0.000 0.500
0.000 0.500 0.879
0.500 0.000 0.121
0.500 0.500 0.500



PBE NdNi2AsPt2, relaxed; SG = I4/mmm
1.0
-2.379 2.379 5.225
2.379 -2.379 5.225
2.379 2.379 -5.225
Nd Ni As Pt
1 2 1 2
Direct
0.000 0.000 0.000
0.291 0.291 0.000
0.709 0.709 0.000
0.500 0.500 0.000
0.250 0.750 0.500
0.750 0.250 0.500



| no. | ΔE_f (eV/atom) |
| --- | --- |
| 1 | -0.7823 |
| 2 | -0.7471 |
| 3 | -0.4587 |
| 4 | -1.0317 |
| 5 | -0.8009 |
| 6 | -0.1337 |